[1]
Compound: HfMnO2F
Source: the Alexandria database
Functional: PBE+U
Structure: relaxed

Calculated values
calculated volume = 12.460 Å³ per atom
DFT total energy = -36.04 eV/cell

a b c (Å): 3.9879 3.9879 3.9173
angles (deg): 90.00 90.00 90.00
Last column: nearest neighbours and their distance in Å.
Atoms (fractional coordinates):
Mn: 0.0000 0.0000 0.0000  2 F 1.96, 4 O 1.99
Hf: 0.5000 0.5000 0.5000  8 O 2.80, 4 F 2.82
O: 0.0000 0.5000 0.0000  2 Mn 1.99
O: 0.5000 0.0000 0.0000  2 Mn 1.99
F: 0.0000 0.0000 0.5000  2 Mn 1.96

[2]
Compound: HfMnOF2
Source: the Alexandria database
Functional: PBE+U
Structure: relaxed

Calculated values
polymorph energy (0 for the lowest one) = 0.000 eV per atom
calculated volume = 15.417 Å³ per atom

a b c (Å): 4.3679 4.3679 4.0404
angles (deg): 90.00 90.00 90.00
Last column: nearest neighbours and their distance in Å.
Atoms (fractional coordinates):
Mn: 0.5000 0.5000 0.5000  8 F 2.98, 4 O 3.09
Hf: 0.0000 0.0000 0.0000  2 O 2.02, 4 F 2.18
O: 0.0000 0.0000 0.5000  2 Hf 2.02
F: 0.0000 0.5000 0.0000  2 Hf 2.18
F: 0.5000 0.0000 0.0000  2 Hf 2.18

[3]
Compound: HfMnOF2
Source: the Alexandria database
Functional: PBE+U
Structure: relaxed

Calculated values
polymorph energy (0 for the lowest one) = 0.801 eV per atom
calculated volume = 14.015 Å³ per atom

a b c (Å): 3.9754 4.4339 3.9754
angles (deg): 90.00 90.00 90.00
Last column: nearest neighbours and their distance in Å.
Atoms (fractional coordinates):
Mn: 0.0000 0.0000 0.0000  4 F 1.99, 2 O 2.22
Hf: 0.5000 0.5000 0.5000  4 O 2.81, 8 F 2.98
O: 0.0000 0.5000 0.0000  2 Mn 2.22
F: 0.0000 0.0000 0.5000  2 Mn 1.99
F: 0.5000 0.0000 0.0000  2 Mn 1.99

[4]
Compound: Hf2MnPbF
Source: the Alexandria database
Functional: PBE+U
Structure: relaxed

Calculated values
calculated volume = 32.035 Å³ per atom
DFT total energy = -26.70 eV/cell

a b c (Å): 5.5143 5.2675 5.5143
angles (deg): 90.00 90.00 90.00
Last column: nearest neighbours and their distance in Å.
Atoms (fractional coordinates):
Pb: 0.0000 0.0000 0.0000  2 Mn 2.63, 4 Hf 2.76
Mn: 0.0000 0.5000 0.0000  2 Pb 2.63
Hf: 0.0000 0.0000 0.5000  2 Pb 2.76
Hf: 0.5000 0.0000 0.0000  2 Pb 2.76
F: 0.5000 0.5000 0.5000  8 Hf 3.81, 4 Mn 3.90

[5]
Compound: HfMn2SF
Source: the Alexandria database
Functional: PBE+U
Structure: relaxed

Calculated values
polymorph energy (0 for the lowest one) = 0.000 eV per atom
calculated volume = 20.290 Å³ per atom

a b c (Å): 4.6152 4.7629 4.6152
angles (deg): 90.00 90.00 90.00
Last column: nearest neighbours and their distance in Å.
Atoms (fractional coordinates):
S: 0.0000 0.0000 0.0000  4 Mn 2.31, 2 Hf 2.38
Mn: 0.0000 0.0000 0.5000  2 S 2.31
Mn: 0.5000 0.0000 0.0000  2 S 2.31
Hf: 0.0000 0.5000 0.0000  2 S 2.38
F: 0.5000 0.5000 0.5000  4 Hf 3.26, 8 Mn 3.32

[6]
Compound: HfMn2SF
Source: the Alexandria database
Functional: PBE+U
Structure: relaxed

Calculated values
polymorph energy (0 for the lowest one) = 0.178 eV per atom
calculated volume = 19.834 Å³ per atom

a b c (Å): 4.3798 5.1696 4.3798
angles (deg): 90.00 90.00 90.00
Last column: nearest neighbours and their distance in Å.
Atoms (fractional coordinates):
S: 0.0000 0.0000 0.0000  4 Mn 2.19
Mn: 0.0000 0.0000 0.5000  2 S 2.19
Mn: 0.5000 0.0000 0.0000  2 S 2.19
Hf: 0.5000 0.5000 0.5000  4 F 3.10, 8 Mn 3.39
F: 0.0000 0.5000 0.0000  2 S 2.58

[7]
Compound: Hf2MnSiF
Source: the Alexandria database
Functional: PBE+U
Structure: relaxed

Calculated values
calculated volume = 22.964 Å³ per atom
DFT total energy = -32.48 eV/cell

a b c (Å): 4.9864 4.6179 4.9864
angles (deg): 90.00 90.00 90.00
Last column: nearest neighbours and their distance in Å.
Atoms (fractional coordinates):
Si: 0.0000 0.0000 0.0000  2 Mn 2.31, 4 Hf 2.49
Mn: 0.0000 0.5000 0.0000  2 Si 2.31
Hf: 0.0000 0.0000 0.5000  2 Si 2.49
Hf: 0.5000 0.0000 0.0000  2 Si 2.49
F: 0.5000 0.5000 0.5000  8 Hf 3.40, 4 Mn 3.53

[8]
Compound: HfMn2SiF
Source: the Alexandria database
Functional: PBE+U
Structure: relaxed

Calculated values
calculated volume = 18.399 Å³ per atom
DFT total energy = -30.97 eV/cell

a b c (Å): 4.9906 3.6936 4.9906
angles (deg): 90.00 90.00 90.00
Last column: nearest neighbours and their distance in Å.
Atoms (fractional coordinates):
Si: 0.0000 0.0000 0.0000  2 F 1.85
Mn: 0.0000 0.0000 0.5000  2 Si 2.50
Mn: 0.5000 0.0000 0.0000  2 Si 2.50
Hf: 0.5000 0.5000 0.5000  8 Mn 3.10
F: 0.0000 0.5000 0.0000  2 Si 1.85

What did the eighth record say?
Compound: HfMn2SiF
Source: the Alexandria database
Functional: PBE+U
Structure: relaxed

Calculated values
calculated volume = 18.399 Å³ per atom
DFT total energy = -30.97 eV/cell

a b c (Å): 4.9906 3.6936 4.9906
angles (deg): 90.00 90.00 90.00
Last column: nearest neighbours and their distance in Å.
Atoms (fractional coordinates):
Si: 0.0000 0.0000 0.0000  2 F 1.85
Mn: 0.0000 0.0000 0.5000  2 Si 2.50
Mn: 0.5000 0.0000 0.0000  2 Si 2.50
Hf: 0.5000 0.5000 0.5000  8 Mn 3.10
F: 0.0000 0.5000 0.0000  2 Si 1.85